Material: Tb7Nd12Er
Method: DFT, GGA-PBE
State: relaxed

```
Tb7Nd12Er
1.0
-5.044 0.660 3.639
0.766 -11.514 -0.433
7.901 5.511 6.368
Tb Nd Er
7 12 1
direct
0.875 0.000 0.245
0.630 0.755 0.755
0.500 0.000 0.000
0.125 0.000 0.755
0.876 0.245 0.000
0.124 0.755 0.000
0.370 0.245 0.245
0.913 0.412 0.824
0.500 0.412 0.588
0.415 0.000 0.353
0.938 0.353 0.354
0.912 0.824 0.412
0.585 0.000 0.647
0.584 0.646 0.000
0.087 0.588 0.176
0.062 0.647 0.646
0.416 0.354 0.000
0.088 0.176 0.588
0.500 0.588 0.412
0.000 0.000 0.000
```

Output
Its formation energy is 438 kJ/mol of formula units.



Material: Tb3Nd6Er2
Method: DFT, GGA-PBE
State: relaxed

```
Tb3Nd6Er2
1.0
4.777 0.000 0.000
0.000 4.777 0.000
-2.388 -2.388 16.941
Tb Nd Er
3 6 2
direct
0.805 0.805 0.609
0.195 0.195 0.391
0.000 0.000 0.000
0.120 0.620 0.239
0.703 0.703 0.407
0.297 0.297 0.593
0.380 0.880 0.761
0.620 0.120 0.239
0.880 0.380 0.761
0.455 0.455 0.910
0.545 0.545 0.090
```

Output
Its formation energy is 311 kJ/mol of formula units.



Material: Tb4Nd3Er2
Method: DFT, GGA-PBE
State: relaxed

```
Tb4Nd3Er2
1.0
5.819 1.605 1.149
2.242 11.043 0.725
2.242 4.245 10.221
Tb Er Nd
8 4 6
direct
0.427 0.609 0.842
0.073 0.158 0.391
0.580 0.055 0.822
0.927 0.842 0.609
0.420 0.945 0.178
0.080 0.822 0.055
0.920 0.178 0.945
0.573 0.391 0.158
0.086 0.490 0.719
0.914 0.510 0.281
0.414 0.281 0.510
0.586 0.719 0.490
0.746 0.023 0.313
0.754 0.687 0.977
0.750 0.353 0.647
0.246 0.313 0.023
0.254 0.977 0.687
0.250 0.647 0.353
```

Output
Its formation energy is 85 kJ/mol of formula units.



Material: TbNd3Er5
Method: DFT, GGA-PBE
State: relaxed

```
TbNd3Er5
1.0
-2.368 5.438 -2.248
2.957 -5.483 -7.428
-10.471 -3.070 3.602
Er Nd Tb
10 6 2
direct
0.873 0.336 0.215
0.533 0.680 0.987
0.116 0.000 0.750
0.467 0.320 0.013
0.146 0.680 0.487
0.854 0.320 0.513
0.884 0.000 0.250
0.127 0.664 0.785
0.537 0.664 0.285
0.463 0.336 0.715
0.000 0.000 0.500
0.000 0.000 0.000
0.358 0.345 0.370
0.012 0.655 0.130
0.642 0.655 0.630
0.988 0.345 0.870
0.593 0.000 0.750
0.407 0.000 0.250
```

Output
Its formation energy is 256 kJ/mol of formula units.



Material: Tb6Nd8Er
Method: DFT, GGA-PBE
State: relaxed

```
Tb6Nd8Er
1.0
6.619 0.000 0.000
0.000 8.188 -4.727
0.000 0.000 9.455
Nd Tb Er
8 6 1
direct
0.166 0.749 0.034
0.834 0.251 0.966
0.118 0.667 0.333
0.834 0.034 0.285
0.166 0.285 0.251
0.834 0.715 0.749
0.166 0.966 0.715
0.882 0.333 0.667
0.343 0.091 0.435
0.657 0.656 0.091
0.343 0.344 0.909
0.343 0.565 0.656
0.657 0.435 0.344
0.657 0.909 0.565
0.500 0.000 0.000
```

Output
Its formation energy is 245 kJ/mol of formula units.



Material: Tb4NdEr4
Method: DFT, GGA-PBE
State: relaxed

```
Tb4NdEr4
1.0
-3.423 0.343 -3.634
1.341 -5.800 -5.255
-6.284 -4.397 2.059
Tb Er Nd
4 4 1
direct
0.000 0.667 0.333
0.667 0.333 0.333
0.000 0.333 0.667
0.333 0.667 0.667
0.333 0.000 0.335
0.667 0.665 0.000
0.333 0.335 0.000
0.667 0.000 0.665
0.000 0.000 0.000
```

Output
Its formation energy is 17 kJ/mol of formula units.



Material: TbNd3Er2
Method: DFT, GGA-PBE
State: relaxed

```
TbNd3Er2
1.0
5.748 0.000 0.000
-2.874 8.792 -1.319
0.000 -4.722 8.639
Tb Er Nd
2 4 6
direct
0.863 0.727 0.872
0.137 0.273 0.128
0.779 0.557 0.125
0.544 0.087 0.904
0.456 0.913 0.096
0.221 0.443 0.875
0.693 0.386 0.390
0.613 0.227 0.660
0.307 0.614 0.610
0.958 0.915 0.627
0.387 0.773 0.340
0.042 0.085 0.373
```

Output
Its formation energy is 56 kJ/mol of formula units.



Material: Tb2Nd12Er5
Method: DFT, GGA-PBE
State: relaxed

```
Tb2Nd12Er5
1.0
-0.513 9.309 0.017
-4.776 -4.921 -6.173
-6.929 -0.392 5.328
Nd Er Tb
12 5 2
direct
0.030 0.696 0.236
0.970 0.304 0.764
0.568 0.743 0.676
0.666 0.696 0.236
0.917 0.834 0.883
0.562 0.124 0.658
0.432 0.257 0.324
0.438 0.876 0.342
0.334 0.304 0.764
0.083 0.166 0.117
0.825 0.257 0.324
0.175 0.743 0.676
0.298 0.596 0.027
0.769 0.539 0.568
0.702 0.404 0.973
0.000 0.000 0.500
0.231 0.461 0.432
0.671 0.000 0.000
0.329 0.000 0.000
```

Output
Its formation energy is 221 kJ/mol of formula units.



Material: Tb6NdEr3
Method: DFT, GGA-PBE
State: relaxed

```
Tb6NdEr3
1.0
-0.996 -5.939 1.429
7.083 0.817 8.335
-10.621 2.180 1.660
Tb Er Nd
12 6 2
direct
0.143 0.719 0.281
0.365 0.044 0.464
0.643 0.281 0.719
0.911 0.045 0.955
0.865 0.956 0.536
0.411 0.955 0.045
0.534 0.620 0.710
0.534 0.290 0.380
0.034 0.710 0.620
0.034 0.380 0.290
0.365 0.536 0.956
0.865 0.464 0.044
0.458 0.282 0.063
0.458 0.937 0.718
0.958 0.718 0.937
0.073 0.389 0.611
0.958 0.063 0.282
0.573 0.611 0.389
0.143 0.204 0.796
0.643 0.796 0.204
```

Output
Its formation energy is 145 kJ/mol of formula units.



Material: Tb5Nd3Er2
Method: DFT, GGA-PBE
State: relaxed

```
Tb5Nd3Er2
1.0
-3.937 1.347 4.900
-9.312 -5.552 -1.739
4.096 -4.994 8.880
Tb Nd Er
10 6 4
direct
0.250 0.500 0.500
0.502 0.748 0.748
0.498 0.252 0.252
0.737 0.596 0.931
0.263 0.404 0.069
0.237 0.931 0.596
0.002 0.748 0.748
0.750 0.500 0.500
0.763 0.069 0.404
0.998 0.252 0.252
0.250 0.000 0.000
0.088 0.244 0.580
0.412 0.420 0.756
0.588 0.580 0.244
0.912 0.756 0.420
0.750 0.000 0.000
0.405 0.926 0.263
0.095 0.737 0.074
0.595 0.074 0.737
0.905 0.263 0.926
```

Output
Its formation energy is 283 kJ/mol of formula units.



Material: Tb5Nd2Er6
Method: DFT, GGA-PBE
State: relaxed

```
Tb5Nd2Er6
1.0
5.256 0.000 0.000
0.000 12.703 0.000
0.000 0.000 12.630
Er Nd Tb
12 4 10
direct
0.000 0.901 0.901
0.500 0.227 0.596
0.500 0.273 0.096
0.000 0.099 0.099
0.000 0.691 0.086
0.000 0.191 0.414
0.000 0.809 0.586
0.000 0.309 0.914
0.000 0.401 0.599
0.000 0.599 0.401
0.500 0.773 0.404
0.500 0.727 0.904
0.000 0.410 0.192
0.000 0.590 0.808
0.000 0.090 0.692
0.000 0.910 0.308
0.500 0.000 0.500
0.500 0.905 0.728
0.500 0.389 0.392
0.500 0.611 0.608
0.500 0.405 0.772
0.500 0.889 0.108
0.500 0.500 0.000
0.500 0.095 0.272
0.500 0.111 0.892
0.500 0.595 0.228
```

Output
Its formation energy is 172 kJ/mol of formula units.



Material: Tb2Nd2Er5
Method: DFT, GGA-PBE
State: relaxed

```
Tb2Nd2Er5
1.0
-4.985 -10.253 3.000
4.176 -0.504 5.217
-4.496 9.012 0.166
Tb Er Nd
4 10 4
direct
0.121 0.684 0.253
0.632 0.184 0.253
0.879 0.430 0.747
0.368 0.930 0.747
0.811 0.259 0.106
0.204 0.653 0.894
0.998 0.152 0.500
0.189 0.153 0.894
0.406 0.539 0.284
0.378 0.039 0.284
0.594 0.255 0.716
0.622 0.755 0.716
0.002 0.652 0.500
0.796 0.759 0.106
0.500 0.508 0.000
0.261 0.357 0.500
0.000 0.008 0.000
0.739 0.857 0.500
```

Output
Its formation energy is 186 kJ/mol of formula units.



> Number 12 is which compound?

Tb2Nd2Er5